Entry 1:
Density functional theory data (PBE) for crystalline TbNpIn2O8 at its relaxed geometry.

Geometry as POSCAR:
```
TbNpIn2O8
1.0
5.041 -0.052 -0.003
-0.020 5.039 -0.006
0.004 0.008 6.807
Tb Np In O
1 1 2 8
Direct
0.000 0.000 0.500 Tb
0.000 0.000 0.000 Np
0.500 0.500 0.745 In
0.500 0.500 0.255 In
0.184 0.816 0.221 O
0.702 0.702 0.000 O
0.816 0.184 0.221 O
0.816 0.184 0.779 O
0.298 0.298 0.000 O
0.184 0.816 0.779 O
0.689 0.690 0.500 O
0.311 0.310 0.500 O
```

Total DFT energy (no corrections)   -7.5216 eV per atom
E_form (uncorrected)   -2.30 eV/atom
Symmetry   Cmmm, No. 65
Total magnetic moment   0.10 μB/cell

***

Entry 2:
Density functional theory data (PBE) for crystalline TbNpInO6 at its relaxed geometry.

Geometry as POSCAR:
```
TbNpInO6
1.0
5.717 0.000 0.000
-2.859 4.951 0.000
0.000 0.000 9.069
Tb Np In O
2 2 2 12
Direct
0.333 0.667 0.250 Tb
0.667 0.333 0.750 Tb
0.667 0.333 0.250 Np
0.333 0.667 0.750 Np
0.000 0.000 0.000 In
0.000 0.000 0.500 In
0.677 0.649 0.130 O
0.972 0.323 0.130 O
0.323 0.972 0.630 O
0.028 0.677 0.870 O
0.351 0.323 0.370 O
0.972 0.649 0.370 O
0.649 0.972 0.870 O
0.677 0.028 0.370 O
0.028 0.351 0.630 O
0.351 0.028 0.130 O
0.649 0.677 0.630 O
0.323 0.351 0.870 O
```

Total DFT energy (no corrections)   -8.1213 eV per atom
E_form (uncorrected)   -2.56 eV/atom
Symmetry   P-31c, No. 163
Total magnetic moment   2.00 μB/cell

***

- Which of these has the lowest E_form (uncorrected)?
  TbNpInO6